{"formula": "V2O5", "functional": "GGA+U", "state": "relaxed", "m_tot_mub_per_cell": 0.00, "vol_a3_per_atom": 13.19, "e_tot_ev_per_cell": -156.1, "cell": [[7.854, -1.825, 0.000], [7.854, 1.825, 0.000], [-3.621, 0.000, 9.666]], "species": ["V", "V", "V", "V", "V", "V", "O", "O", "O", "O", "O", "O", "O", "O", "O", "O", "O", "O", "O", "O", "O"], "frac_coords": [[0.118, 0.118, 0.113], [0.289, 0.289, 0.413], [0.339, 0.339, 0.109], [0.661, 0.661, 0.891], [0.711, 0.711, 0.587], [0.882, 0.882, 0.887], [0.000, 0.000, 0.000], [0.113, 0.113, 0.267], [0.183, 0.183, 0.945], [0.244, 0.244, 0.574], [0.265, 0.265, 0.221], [0.365, 0.365, 0.929], [0.397, 0.397, 0.476], [0.439, 0.439, 0.223], [0.561, 0.561, 0.777], [0.603, 0.603, 0.524], [0.635, 0.635, 0.071], [0.735, 0.735, 0.779], [0.756, 0.756, 0.426], [0.817, 0.817, 0.055], [0.887, 0.887, 0.733]]}